Entry 1:
Below is Np2Be3NiGe4 after structural relaxation, with properties calculated at the GGA-PBE level.

a b c (Å): 4.026 4.026 9.558
angles (deg): 90.00 90.00 90.00
Fractional positions:
1 Np 0.000 0.500 0.249
2 Np 0.500 0.000 0.751
3 Be 0.000 0.000 0.000
4 Be 0.000 0.500 0.632
5 Be 0.500 0.000 0.368
6 Ni 0.500 0.500 0.000
7 Ge 0.000 0.000 0.500
8 Ge 0.000 0.500 0.867
9 Ge 0.500 0.000 0.133
10 Ge 0.500 0.500 0.500

Summary:
Crystal system: tetragonal
Final energy (eV/atom): -6.316

---

Entry 2:
Below is CaHf4Rh5 after structural relaxation, with properties calculated at the GGA-PBE level.

a b c (Å): 3.275 3.275 17.023
angles (deg): 90.00 90.00 90.00
Fractional positions:
1 Ca 0.000 0.000 0.000
2 Hf 0.000 0.000 0.209
3 Hf 0.000 0.000 0.404
4 Hf 0.000 0.000 0.596
5 Hf 0.000 0.000 0.791
6 Rh 0.500 0.500 0.127
7 Rh 0.500 0.500 0.312
8 Rh 0.500 0.500 0.500
9 Rh 0.500 0.500 0.688
10 Rh 0.500 0.500 0.873

Summary:
Crystal system: tetragonal
Final energy (eV/atom): -8.704

---

Entry 3:
Below is Cd4In2GaHg after structural relaxation, with properties calculated at the GGA-PBE level.

a b c (Å): 8.619 8.619 8.619
angles (deg): 136.82 104.26 91.40
Fractional positions:
1 Cd 0.242 0.238 0.004
2 Cd 0.252 0.242 0.491
3 Cd 0.252 0.761 0.009
4 Cd 0.267 0.762 0.504
5 Cd 0.733 0.238 0.496
6 Cd 0.748 0.239 0.991
7 Cd 0.748 0.758 0.509
8 Cd 0.758 0.762 0.996
9 In 0.000 0.000 0.500
10 In 0.000 0.500 0.000
11 In 0.000 0.500 0.500
12 In 0.500 0.500 0.000
13 Ga 0.000 0.000 0.000
14 Ga 0.500 0.000 0.500
15 Hg 0.500 0.000 0.000
16 Hg 0.500 0.500 0.500

Summary:
Crystal system: orthorhombic
Final energy (eV/atom): -1.478

---

Entry 4:
Below is Re8Ru after structural relaxation, with properties calculated at the GGA-PBE level.

a b c (Å): 4.805 4.805 6.868
angles (deg): 96.73 96.73 119.93
Fractional positions:
1 Re 0.056 0.388 0.665
2 Re 0.167 0.833 0.000
3 Re 0.277 0.277 0.330
4 Re 0.388 0.056 0.665
5 Re 0.612 0.944 0.335
6 Re 0.723 0.723 0.670
7 Re 0.833 0.167 0.000
8 Re 0.944 0.612 0.335
9 Ru 0.500 0.500 0.000

Summary:
Crystal system: monoclinic
Final energy (eV/atom): -12.095

---

Entry 5:
Below is Dy12Tl3Ga after structural relaxation, with properties calculated at the GGA-PBE level.

a b c (Å): 4.814 4.814 19.273
angles (deg): 90.00 90.00 90.00
Fractional positions:
1 Dy 0.000 0.000 0.000
2 Dy 0.000 0.000 0.246
3 Dy 0.000 0.000 0.500
4 Dy 0.000 0.000 0.754
5 Dy 0.000 0.500 0.119
6 Dy 0.000 0.500 0.374
7 Dy 0.000 0.500 0.626
8 Dy 0.000 0.500 0.881
9 Dy 0.500 0.000 0.119
10 Dy 0.500 0.000 0.374
11 Dy 0.500 0.000 0.626
12 Dy 0.500 0.000 0.881
13 Tl 0.500 0.500 0.247
14 Tl 0.500 0.500 0.500
15 Tl 0.500 0.500 0.753
16 Ga 0.500 0.500 0.000

Summary:
Crystal system: tetragonal
Final energy (eV/atom): -4.278

---

Entry 6:
Below is Zr2CrSe after structural relaxation, with properties calculated at the GGA-PBE level.

a b c (Å): 5.665 5.665 13.055
angles (deg): 90.00 90.00 90.00
Fractional positions:
1 Zr 0.220 0.250 0.125
2 Zr 0.250 0.720 0.375
3 Zr 0.250 0.780 0.875
4 Zr 0.280 0.250 0.625
5 Zr 0.720 0.750 0.625
6 Zr 0.750 0.220 0.875
7 Zr 0.750 0.280 0.375
8 Zr 0.780 0.750 0.125
9 Cr 0.000 0.000 0.000
10 Cr 0.000 0.500 0.250
11 Cr 0.500 0.000 0.750
12 Cr 0.500 0.500 0.500
13 Se 0.000 0.000 0.500
14 Se 0.000 0.500 0.750
15 Se 0.500 0.000 0.250
16 Se 0.500 0.500 0.000

Summary:
Crystal system: tetragonal
Final energy (eV/atom): -6.956

---

Entry 7:
Below is CaReCl3 after structural relaxation, with properties calculated at the GGA-PBE level.

a b c (Å): 4.867 4.867 4.867
angles (deg): 90.00 90.00 90.00
Fractional positions:
1 Ca 0.000 0.000 0.000
2 Re 0.500 0.500 0.500
3 Cl 0.000 0.500 0.500
4 Cl 0.500 0.000 0.500
5 Cl 0.500 0.500 0.000

Summary:
Crystal system: cubic
Final energy (eV/atom): -4.213

---

Entry 8:
Below is La3Pm2SmY6 after structural relaxation, with properties calculated at the GGA-PBE level.

a b c (Å): 6.311 6.311 11.913
angles (deg): 95.05 95.05 120.00
Fractional positions:
1 La 0.000 0.000 0.000
2 La 0.333 0.667 0.000
3 La 0.667 0.333 0.000
4 Pm 0.167 0.833 0.500
5 Pm 0.833 0.167 0.500
6 Sm 0.500 0.500 0.500
7 Y 0.085 0.418 0.253
8 Y 0.249 0.249 0.747
9 Y 0.418 0.085 0.253
10 Y 0.582 0.915 0.747
11 Y 0.751 0.751 0.253
12 Y 0.915 0.582 0.747

Summary:
Crystal system: monoclinic
Final energy (eV/atom): -5.639

---

Entry 9:
Below is SrSb after structural relaxation, with properties calculated at the GGA-PBE level.

a b c (Å): 9.275 9.275 9.275
angles (deg): 90.00 90.00 90.00
Fractional positions:
1 Sr 0.000 0.250 0.500
2 Sr 0.000 0.750 0.500
3 Sr 0.250 0.500 0.000
4 Sr 0.500 0.000 0.250
5 Sr 0.500 0.000 0.750
6 Sr 0.750 0.500 0.000
7 Sb 0.000 0.500 0.250
8 Sb 0.000 0.500 0.750
9 Sb 0.250 0.000 0.500
10 Sb 0.500 0.250 0.000
11 Sb 0.500 0.750 0.000
12 Sb 0.750 0.000 0.500

Summary:
Crystal system: cubic
Final energy (eV/atom): -3.137

---

Entry 10:
Below is TmPuRh after structural relaxation, with properties calculated at the GGA-PBE level.

a b c (Å): 6.693 6.926 7.057
angles (deg): 90.00 112.97 90.00
Fractional positions:
1 Tm 0.200 0.182 0.072
2 Tm 0.200 0.318 0.572
3 Tm 0.800 0.682 0.428
4 Tm 0.800 0.818 0.928
5 Pu 0.313 0.671 0.976
6 Pu 0.313 0.829 0.476
7 Pu 0.687 0.171 0.524
8 Pu 0.687 0.329 0.024
9 Rh 0.069 0.547 0.221
10 Rh 0.069 0.953 0.721
11 Rh 0.931 0.047 0.279
12 Rh 0.931 0.453 0.779

Summary:
Crystal system: monoclinic
Final energy (eV/atom): -9.093

---

Entry 11:
Below is Mn2NiN after structural relaxation, with properties calculated at the GGA-PBE level.

a b c (Å): 5.331 5.331 5.331
angles (deg): 90.00 90.00 90.00
Fractional positions:
1 Mn 0.250 0.250 0.250
2 Mn 0.250 0.250 0.750
3 Mn 0.250 0.750 0.250
4 Mn 0.250 0.750 0.750
5 Mn 0.750 0.250 0.250
6 Mn 0.750 0.250 0.750
7 Mn 0.750 0.750 0.250
8 Mn 0.750 0.750 0.750
9 Ni 0.000 0.000 0.000
10 Ni 0.000 0.500 0.500
11 Ni 0.500 0.000 0.500
12 Ni 0.500 0.500 0.000
13 N 0.000 0.000 0.500
14 N 0.000 0.500 0.000
15 N 0.500 0.000 0.000
16 N 0.500 0.500 0.500

Summary:
Crystal system: cubic
Final energy (eV/atom): -7.305

---

Entry 12:
Below is CoAgRu2 after structural relaxation, with properties calculated at the GGA-PBE level.

a b c (Å): 9.526 2.708 4.581
angles (deg): 90.00 105.16 90.00
Fractional positions:
1 Co 0.000 0.000 0.000
2 Co 0.500 0.500 0.000
3 Ag 0.000 0.500 0.500
4 Ag 0.500 0.000 0.500
5 Ru 0.225 0.500 0.223
6 Ru 0.275 0.000 0.777
7 Ru 0.725 0.000 0.223
8 Ru 0.775 0.500 0.777

Summary:
Crystal system: monoclinic
Final energy (eV/atom): -6.683

---

Entry 13:
Below is Pa2MnNi9 after structural relaxation, with properties calculated at the GGA-PBE level.

a b c (Å): 3.830 3.830 11.057
angles (deg): 90.00 90.00 90.00
Fractional positions:
1 Pa 0.000 0.000 0.182
2 Pa 0.000 0.000 0.818
3 Mn 0.000 0.000 0.500
4 Ni 0.000 0.500 0.000
5 Ni 0.000 0.500 0.345
6 Ni 0.000 0.500 0.655
7 Ni 0.500 0.000 0.000
8 Ni 0.500 0.000 0.345
9 Ni 0.500 0.000 0.655
10 Ni 0.500 0.500 0.169
11 Ni 0.500 0.500 0.500
12 Ni 0.500 0.500 0.831

Summary:
Crystal system: tetragonal
Final energy (eV/atom): -6.968

---

Entry 14:
Below is Nd2HoIr2 after structural relaxation, with properties calculated at the GGA-PBE level.

a b c (Å): 6.579 6.579 11.158
angles (deg): 118.41 118.41 36.77
Fractional positions:
1 Nd 0.039 0.039 0.196
2 Nd 0.170 0.170 0.589
3 Nd 0.830 0.830 0.411
4 Nd 0.961 0.961 0.804
5 Ho 0.295 0.295 0.133
6 Ho 0.705 0.705 0.867
7 Ir 0.372 0.372 0.928
8 Ir 0.477 0.477 0.610
9 Ir 0.523 0.523 0.390
10 Ir 0.628 0.628 0.072

Summary:
Crystal system: monoclinic
Final energy (eV/atom): -7.002

---

Entry 15:
Below is YZrCoCu after structural relaxation, with properties calculated at the GGA-PBE level.

a b c (Å): 6.637 6.637 6.637
angles (deg): 90.00 90.00 90.00
Fractional positions:
1 Y 0.000 0.000 0.000
2 Y 0.000 0.500 0.500
3 Y 0.500 0.000 0.500
4 Y 0.500 0.500 0.000
5 Zr 0.000 0.000 0.500
6 Zr 0.000 0.500 0.000
7 Zr 0.500 0.000 0.000
8 Zr 0.500 0.500 0.500
9 Co 0.250 0.250 0.250
10 Co 0.250 0.750 0.750
11 Co 0.750 0.250 0.750
12 Co 0.750 0.750 0.250
13 Cu 0.250 0.250 0.750
14 Cu 0.250 0.750 0.250
15 Cu 0.750 0.250 0.250
16 Cu 0.750 0.750 0.750

Summary:
Crystal system: cubic
Final energy (eV/atom): -6.693

---

Entry 16:
Below is LiCuNi6 after structural relaxation, with properties calculated at the GGA-PBE level.

a b c (Å): 6.112 6.112 10.001
angles (deg): 90.00 90.00 109.75
Fractional positions:
1 Li 0.000 0.000 0.249
2 Li 0.000 0.000 0.751
3 Li 0.251 0.749 0.000
4 Li 0.749 0.251 0.000
5 Cu 0.248 0.752 0.500
6 Cu 0.500 0.500 0.249
7 Cu 0.500 0.500 0.751
8 Cu 0.752 0.248 0.500
9 Ni 0.000 0.000 0.000
10 Ni 0.000 0.000 0.500
11 Ni 0.124 0.375 0.124
12 Ni 0.124 0.375 0.876
13 Ni 0.125 0.375 0.374
14 Ni 0.125 0.375 0.626
15 Ni 0.250 0.750 0.249
16 Ni 0.250 0.750 0.751
17 Ni 0.375 0.124 0.124
18 Ni 0.375 0.124 0.876
19 Ni 0.375 0.125 0.374
20 Ni 0.375 0.125 0.626
21 Ni 0.500 0.500 0.000
22 Ni 0.500 0.500 0.500
23 Ni 0.625 0.875 0.374
24 Ni 0.625 0.875 0.626
25 Ni 0.625 0.876 0.124
26 Ni 0.625 0.876 0.876
27 Ni 0.750 0.250 0.249
28 Ni 0.750 0.250 0.751
29 Ni 0.875 0.625 0.374
30 Ni 0.875 0.625 0.626
31 Ni 0.876 0.625 0.124
32 Ni 0.876 0.625 0.876

Summary:
Crystal system: orthorhombic
Final energy (eV/atom): -5.053

---

Entry 17:
Below is Na2YHC2O7 after structural relaxation, with properties calculated at the GGA-PBE level.

a b c (Å): 9.438 9.438 11.446
angles (deg): 96.21 96.21 38.27
Fractional positions:
1 Na 0.013 0.210 0.384
2 Na 0.142 0.325 0.143
3 Na 0.210 0.013 0.884
4 Na 0.325 0.142 0.643
5 Na 0.675 0.858 0.357
6 Na 0.790 0.987 0.116
7 Na 0.858 0.675 0.857
8 Na 0.987 0.790 0.616
9 Y 0.282 0.596 0.367
10 Y 0.404 0.718 0.133
11 Y 0.596 0.282 0.867
12 Y 0.718 0.404 0.633
13 H 0.250 0.552 0.118
14 H 0.448 0.750 0.382
15 H 0.552 0.250 0.618
16 H 0.750 0.448 0.882
17 C 0.137 0.733 0.883
18 C 0.217 0.369 0.422
19 C 0.267 0.863 0.617
20 C 0.369 0.217 0.922
21 C 0.631 0.783 0.078
22 C 0.733 0.137 0.383
23 C 0.783 0.631 0.578
24 C 0.863 0.267 0.117
25 O 0.070 0.091 0.084
26 O 0.091 0.070 0.584
27 O 0.115 0.488 0.327
28 O 0.191 0.595 0.798
29 O 0.207 0.257 0.936
30 O 0.207 0.669 0.173
31 O 0.257 0.207 0.436
32 O 0.284 0.420 0.503
33 O 0.304 0.681 0.934
34 O 0.319 0.696 0.566
35 O 0.331 0.793 0.327
36 O 0.405 0.809 0.702
37 O 0.420 0.284 0.003
38 O 0.488 0.115 0.827
39 O 0.512 0.885 0.173
40 O 0.580 0.716 0.997
41 O 0.595 0.191 0.298
42 O 0.669 0.207 0.673
43 O 0.681 0.304 0.434
44 O 0.696 0.319 0.066
45 O 0.716 0.580 0.497
46 O 0.743 0.793 0.564
47 O 0.793 0.331 0.827
48 O 0.793 0.743 0.064
49 O 0.809 0.405 0.202
50 O 0.885 0.512 0.673
51 O 0.909 0.930 0.416
52 O 0.930 0.909 0.916

Summary:
Crystal system: monoclinic
Final energy (eV/atom): -7.032

---

Entry 18:
Below is ReSb2Os after structural relaxation, with properties calculated at the GGA-PBE level.

a b c (Å): 3.285 3.285 6.528
angles (deg): 90.00 90.00 90.00
Fractional positions:
1 Re 0.000 0.000 0.000
2 Sb 0.500 0.500 0.247
3 Sb 0.500 0.500 0.753
4 Os 0.000 0.000 0.500

Summary:
Crystal system: tetragonal
Final energy (eV/atom): -7.381

---

Entry 19:
Below is RbGeIO2 after structural relaxation, with properties calculated at the GGA-PBE level.

a b c (Å): 4.317 4.317 5.660
angles (deg): 90.00 90.00 90.00
Fractional positions:
1 Rb 0.000 0.000 0.000
2 Ge 0.500 0.500 0.500
3 I 0.500 0.500 0.000
4 O 0.000 0.500 0.500
5 O 0.500 0.000 0.500

Summary:
Crystal system: tetragonal
Final energy (eV/atom): -3.875

---

Entry 20:
Below is TaInAu2 after structural relaxation, with properties calculated at the GGA-PBE level.

a b c (Å): 3.077 3.077 28.067
angles (deg): 90.00 90.00 120.00
Fractional positions:
1 Ta 0.000 0.000 0.000
2 Ta 0.333 0.667 0.667
3 Ta 0.667 0.333 0.333
4 In 0.000 0.000 0.754
5 In 0.333 0.667 0.420
6 In 0.667 0.333 0.087
7 Au 0.000 0.000 0.255
8 Au 0.000 0.000 0.504
9 Au 0.333 0.667 0.171
10 Au 0.333 0.667 0.922
11 Au 0.667 0.333 0.588
12 Au 0.667 0.333 0.838

Summary:
Crystal system: trigonal
Final energy (eV/atom): -5.213

---

Entry 21:
Below is CaLaAl after structural relaxation, with properties calculated at the GGA-PBE level.

a b c (Å): 5.231 5.231 11.881
angles (deg): 90.00 90.00 120.00
Fractional positions:
1 Ca 0.333 0.667 0.250
2 Ca 0.667 0.333 0.750
3 La 0.000 0.000 0.000
4 La 0.000 0.000 0.500
5 Al 0.000 0.000 0.250
6 Al 0.000 0.000 0.750

Summary:
Crystal system: hexagonal
Final energy (eV/atom): -2.970